{"formula": "LiNdBr3", "functional": "PBE-GGA", "state": "optimized geometry", "lattice_angstrom": [[6.897, 0.000, 0.000], [2.892, 6.373, 0.000], [2.607, 2.569, 6.877]], "species": ["Li", "Li", "Nd", "Nd", "Br", "Br", "Br", "Br", "Br", "Br"], "fractional_positions": [[0.111, 0.179, 0.062], [0.889, 0.821, 0.938], [0.356, 0.360, 0.484], [0.644, 0.640, 0.516], [0.047, 0.775, 0.247], [0.239, 0.557, 0.791], [0.414, 0.081, 0.250], [0.586, 0.919, 0.750], [0.761, 0.443, 0.209], [0.953, 0.225, 0.753]]}

=====

{"formula": "Li2NdBr6", "functional": "PBE-GGA", "state": "optimized geometry", "lattice_angstrom": [[6.886, -2.243, 0.000], [6.886, 2.243, 0.000], [-2.674, 0.000, 9.690]], "species": ["Li", "Li", "Nd", "Br", "Br", "Br", "Br", "Br", "Br"], "fractional_positions": [[0.211, 0.211, 0.160], [0.789, 0.789, 0.840], [0.000, 0.000, 0.500], [0.048, 0.048, 0.244], [0.332, 0.332, 0.959], [0.356, 0.356, 0.403], [0.644, 0.644, 0.597], [0.668, 0.668, 0.041], [0.952, 0.952, 0.756]]}

=====

{"formula": "Li4Nd2Br9", "functional": "PBE-GGA", "state": "optimized geometry", "lattice_angstrom": [[7.144, 0.000, 0.000], [-3.572, 6.186, 0.000], [0.000, 0.000, 19.286]], "species": ["Li", "Li", "Li", "Li", "Li", "Li", "Li", "Li", "Nd", "Nd", "Nd", "Nd", "Br", "Br", "Br", "Br", "Br", "Br", "Br", "Br", "Br", "Br", "Br", "Br", "Br", "Br", "Br", "Br", "Br", "Br"], "fractional_positions": [[0.333, 0.667, 0.164], [0.333, 0.667, 0.486], [0.333, 0.667, 0.664], [0.333, 0.667, 0.986], [0.667, 0.333, 0.014], [0.667, 0.333, 0.336], [0.667, 0.333, 0.514], [0.667, 0.333, 0.836], [0.000, 0.000, 0.157], [0.000, 0.000, 0.343], [0.000, 0.000, 0.657], [0.000, 0.000, 0.843], [0.000, 0.337, 0.250], [0.000, 0.663, 0.750], [0.020, 0.366, 0.582], [0.020, 0.654, 0.082], [0.337, 0.000, 0.250], [0.337, 0.337, 0.750], [0.346, 0.366, 0.082], [0.346, 0.980, 0.582], [0.366, 0.020, 0.918], [0.366, 0.346, 0.418], [0.634, 0.654, 0.582], [0.634, 0.980, 0.082], [0.654, 0.020, 0.418], [0.654, 0.634, 0.918], [0.663, 0.000, 0.750], [0.663, 0.663, 0.250], [0.980, 0.346, 0.918], [0.980, 0.634, 0.418]]}

=====

{"formula": "LiNd2Br6", "functional": "PBE-GGA", "state": "optimized geometry", "lattice_angstrom": [[7.530, -1.908, 0.000], [7.530, 1.908, 0.000], [-5.619, 0.000, 10.806]], "species": ["Li", "Nd", "Nd", "Br", "Br", "Br", "Br", "Br", "Br"], "fractional_positions": [[0.000, 0.000, 0.000], [0.317, 0.317, 0.698], [0.683, 0.683, 0.302], [0.010, 0.010, 0.222], [0.196, 0.196, 0.118], [0.346, 0.346, 0.465], [0.654, 0.654, 0.535], [0.804, 0.804, 0.882], [0.990, 0.990, 0.778]], "polymorph_energy_mev_per_atom": 0.0}

=====

VASP energy
In order: -3.885, -3.439, -3.762, -4.086
Unit: eV per atom
E_form (uncorrected)
In order: -149.1, -132.1, -155.5, -163.9
Unit: kJ per mole of atoms